Material: MnGePb2
Method: DFT, GGA-PBE
State: optimized geometry Values from VASP.

```
&SYSTEM
  ibrav = 0, nat = 8, ntyp = 3
/
ATOMIC_SPECIES
Pb 207.20 Pb.upf
Ge 72.64 Ge.upf
Mn 54.94 Mn.upf
CELL_PARAMETERS angstrom
4.4233 0.0000 0.0000
0.0000 4.4233 0.0000
2.2117 2.2117 9.7405
ATOMIC_POSITIONS crystal
Pb 0.6137 0.1250 0.2500
Pb 0.1363 0.6250 0.2500
Pb 0.3750 0.3863 0.7500
Pb 0.8750 0.8637 0.7500
Ge 0.0000 0.0000 0.0000
Ge 0.7500 0.2500 0.5000
Mn 0.5000 0.5000 0.0000
Mn 0.2500 0.7500 0.5000
```

Results
- Crystal system: tetragonal
- DOS(E_F): 1.2538 states/eV per atom
- Energy of formation from the pure elements: 918 meV per atom
- Electronic total energy: -35.07 eV/cell
- V: 23.82 Å³/atom